An optimized crystal structure of Co7O12, computed with PBE+U.

Cell and atoms, written as extended XYZ:
```
19
Lattice="2.4348 -4.2469 0.0000 2.4348 4.2469 0.0000 -1.4879 0.0000 9.3549" Properties=species:S:1:pos:R:3 pbc="T T T"
Co 0.0000 0.0000 0.0000
Co 0.3389 2.3975 7.1976
Co 1.6909 2.3692 4.6775
Co 3.0429 2.3975 2.1574
Co 1.6909 -0.4499 4.6775
Co 2.4348 -1.4412 0.0000
Co 1.6909 -3.2865 4.6775
O 1.5906 2.9422 1.0463
O 0.1127 -0.5143 3.6705
O 0.8573 1.0029 5.6983
O 1.7911 2.9422 8.3086
O 1.4594 -0.3176 1.0880
O 2.5245 1.0029 3.6566
O 0.9386 -1.8585 5.6476
O 1.9224 -0.3176 8.2669
O 1.7240 -2.8423 1.0283
O 2.4432 -1.8585 3.7074
O 3.2691 -0.5143 5.6844
O 1.6578 -2.8423 8.3266
```

## Properties
- space-group type = C2
- M_tot (μB/atom) = 0.581
- total energy (eV/atom) = -5.7404